1.
Here is a relaxed Sr2ReMo crystal from the Alexandria database. Energies are from PBE.

Geometry as POSCAR:
```
Sr2ReMo
1.0
2.881 0.000 0.000
0.000 2.881 0.000
0.000 0.000 10.697
Re Sr Mo
1 2 1
direct
0.500 0.500 0.750
0.000 0.000 0.505
0.000 0.000 0.995
0.500 0.500 0.250
```

M_tot = 0.00 μB/f.u.
V = 22.20 A^3/atom
ΔH_f (0 K) = 5.1 eV per formula unit
Excess energy over the best structure of this formula in the dataset = 810 meV per atom

***

2.
Here is a relaxed Sr2ReMo crystal from the Alexandria database. Energies are from PBE.

Geometry as POSCAR:
```
Sr2ReMo
1.0
-2.487 1.895 1.231
-1.237 0.390 -3.100
-6.701 -7.554 -1.909
Mo Sr Re
1 2 1
direct
0.000 0.429 0.571
0.500 0.179 0.320
0.000 0.076 0.926
0.500 0.816 0.684
```

M_tot = 0.00 μB/f.u.
V = 27.42 A^3/atom
ΔH_f (0 K) = 2.1 eV per formula unit
Excess energy over the best structure of this formula in the dataset = 72 meV per atom

***

3.
Here is a relaxed SrReMo crystal from the Alexandria database. Energies are from PBE.

Geometry as POSCAR:
```
SrReMo
1.0
-0.548 -2.372 2.039
-0.386 -0.465 -3.118
7.023 -2.100 -0.555
Re Mo Sr
1 1 1
direct
0.667 0.333 0.287
0.000 0.000 0.053
0.333 0.667 0.660
```

M_tot = 0.00 μB/f.u.
V = 21.41 A^3/atom
ΔH_f (0 K) = 2.8 eV per formula unit
Excess energy over the best structure of this formula in the dataset = 322 meV per atom

***

4.
Here is a relaxed Sr2ReMo crystal from the Alexandria database. Energies are from PBE.

Geometry as POSCAR:
```
Sr2ReMo
1.0
5.050 -0.008 0.000
0.013 5.050 0.000
-2.532 -2.521 3.570
Sr Mo Re
2 1 1
direct
0.000 0.000 0.000
0.250 0.750 0.500
0.500 0.500 0.000
0.750 0.250 0.500
```

M_tot = 0.00 μB/f.u.
V = 22.76 A^3/atom
ΔH_f (0 K) = 4.8 eV per formula unit
Excess energy over the best structure of this formula in the dataset = 754 meV per atom

***

5.
Here is a relaxed Sr2ReMo crystal from the Alexandria database. Energies are from PBE.

Geometry as POSCAR:
```
Sr2ReMo
1.0
-1.308 -4.042 -3.654
-0.331 -5.425 -1.364
-5.408 -0.501 2.004
Sr Mo Re
2 1 1
direct
0.499 0.499 0.503
0.001 0.001 0.997
0.250 0.250 0.250
0.750 0.750 0.750
```

M_tot = 0.16 μB/f.u.
V = 22.30 A^3/atom
ΔH_f (0 K) = 5.7 eV per formula unit
Excess energy over the best structure of this formula in the dataset = 958 meV per atom

***

6.
Here is a relaxed SrRe3Mo crystal from the Alexandria database. Energies are from PBE.

Geometry as POSCAR:
```
SrRe3Mo
1.0
4.829 0.000 0.000
0.000 4.829 0.000
0.000 0.000 4.829
Re Mo Sr
3 1 1
direct
0.500 0.000 0.000
0.000 0.000 0.500
0.000 0.500 0.000
0.000 0.000 0.000
0.500 0.500 0.500
```

M_tot = 2.25 μB/f.u.
V = 22.53 A^3/atom
ΔH_f (0 K) = 8.3 eV per formula unit
Excess energy over the best structure of this formula in the dataset = 0 meV per atom

***

7.
Here is a relaxed Sr2ReMo crystal from the Alexandria database. Energies are from PBE.

Geometry as POSCAR:
```
Sr2ReMo
1.0
-6.081 0.286 -0.071
3.187 -4.471 -2.629
-0.097 -1.495 2.429
Sr Mo Re
2 1 1
direct
0.000 0.000 0.000
0.500 0.500 0.000
0.500 0.000 0.500
0.000 0.500 0.500
```

M_tot = 0.00 μB/f.u.
V = 22.04 A^3/atom
ΔH_f (0 K) = 4.9 eV per formula unit
Excess energy over the best structure of this formula in the dataset = 780 meV per atom

***

8.
Here is a relaxed SrReMo3 crystal from the Alexandria database. Energies are from PBE.

Geometry as POSCAR:
```
SrReMo3
1.0
-0.321 0.975 -4.507
-0.617 -4.486 -0.927
-4.569 0.537 0.441
Mo Re Sr
3 1 1
direct
0.500 0.000 0.000
0.000 0.000 0.500
0.000 0.500 0.000
0.500 0.500 0.500
0.000 0.000 0.000
```

M_tot = 0.02 μB/f.u.
V = 19.75 A^3/atom
ΔH_f (0 K) = 16.7 eV per formula unit
Excess energy over the best structure of this formula in the dataset = 2065 meV per atom